Record 1
# Sc3ZnCr | the Alexandria database | GGA-PBE | relaxed
# DOS(E_F) ... 7.03 states/eV/cell
# VASP energy ... -27.69 eV per formula unit
# Distance to the lowest polymorph of the same formula ... 0 kJ/mol of formula units
data_Sc3ZnCr
_chemical_formula_sum 'Sc3 Zn1 Cr1'
_space_group_name_H-M_alt 'P m -3 m'
_space_group_IT_number 221
_space_group_name_Hall '-P 4 2 3'
_cell_length_a 4.8367
_cell_length_b 4.8367
_cell_length_c 4.8367
_cell_angle_alpha 90.00
_cell_angle_beta 90.00
_cell_angle_gamma 90.00
loop_
_atom_site_label
_atom_site_fract_x
_atom_site_fract_y
_atom_site_fract_z
Sc1 0.0000 0.0000 0.5000
Zn1 0.5000 0.5000 0.5000
Cr1 0.0000 0.0000 0.0000



Record 2
# ScZn2Cr2 | the Alexandria database | GGA-PBE | relaxed
# DOS(E_F) ... 9.53 states/eV/cell
# VASP energy ... -27.33 eV per formula unit
# Distance to the lowest polymorph of the same formula ... 0 kJ/mol of formula units
data_ScZn2Cr2
_chemical_formula_sum 'Sc2 Zn4 Cr4'
_space_group_name_H-M_alt 'I 4/m m m'
_space_group_IT_number 139
_space_group_name_Hall '-I 4 2'
_cell_length_a 3.4925
_cell_length_b 3.4925
_cell_length_c 12.3925
_cell_angle_alpha 90.00
_cell_angle_beta 90.00
_cell_angle_gamma 90.00
loop_
_atom_site_label
_atom_site_fract_x
_atom_site_fract_y
_atom_site_fract_z
Sc1 0.0000 0.0000 0.0000
Zn1 0.0000 0.0000 0.3993
Cr1 0.0000 0.5000 0.2500



Record 3
# ScZn2Cr | the Alexandria database | GGA-PBE | relaxed
# DOS(E_F) ... 11.85 states/eV/cell
# VASP energy ... -17.00 eV per formula unit
# Distance to the lowest polymorph of the same formula ... 178 kJ/mol of formula units
data_ScZn2Cr
_chemical_formula_sum 'Sc4 Zn8 Cr4'
_space_group_name_H-M_alt 'I -4 2 d'
_space_group_IT_number 122
_space_group_name_Hall 'I -4 2bw'
_cell_length_a 3.9260
_cell_length_b 3.9260
_cell_length_c 19.2662
_cell_angle_alpha 90.00
_cell_angle_beta 90.00
_cell_angle_gamma 90.00
loop_
_atom_site_label
_atom_site_fract_x
_atom_site_fract_y
_atom_site_fract_z
Sc1 0.0000 0.0000 0.0000
Zn1 0.2204 0.2500 0.6250
Cr1 0.0000 0.0000 0.5000



Record 4
# ScZnCr | the Alexandria database | GGA-PBE | relaxed
# DOS(E_F) ... 5.73 states/eV/cell
# VASP energy ... -16.55 eV per formula unit
# Distance to the lowest polymorph of the same formula ... 40 kJ/mol of formula units
data_ScZnCr
_chemical_formula_sum 'Sc2 Zn2 Cr2'
_space_group_name_H-M_alt 'I 4 m m'
_space_group_IT_number 107
_space_group_name_Hall 'I 4 -2'
_cell_length_a 2.7587
_cell_length_b 2.7587
_cell_length_c 12.3994
_cell_angle_alpha 90.00
_cell_angle_beta 90.00
_cell_angle_gamma 90.00
loop_
_atom_site_label
_atom_site_fract_x
_atom_site_fract_y
_atom_site_fract_z
Sc1 0.0000 0.0000 0.0000
Zn1 0.0000 0.0000 0.6825
Cr1 0.0000 0.0000 0.3309



Record 5
# ScZnCr | the Alexandria database | GGA-PBE | relaxed
# DOS(E_F) ... 2.18 states/eV/cell
# VASP energy ... -16.90 eV per formula unit
# Distance to the lowest polymorph of the same formula ... 7 kJ/mol of formula units
data_ScZnCr
_chemical_formula_sum 'Sc1 Zn1 Cr1'
_space_group_name_H-M_alt 'P -6 m 2'
_space_group_IT_number 187
_space_group_name_Hall 'P -6 2'
_cell_length_a 4.4980
_cell_length_b 4.4980
_cell_length_c 3.0903
_cell_angle_alpha 90.00
_cell_angle_beta 90.00
_cell_angle_gamma 120.00
loop_
_atom_site_label
_atom_site_fract_x
_atom_site_fract_y
_atom_site_fract_z
Sc1 0.0000 0.0000 0.0000
Zn1 0.6667 0.3333 0.5000
Cr1 0.3333 0.6667 0.5000



Record 6
# ScZn2Cr | the Alexandria database | GGA-PBE | relaxed
# DOS(E_F) ... 5.31 states/eV/cell
# VASP energy ... -18.41 eV per formula unit
# Distance to the lowest polymorph of the same formula ... 41 kJ/mol of formula units
data_ScZn2Cr
_chemical_formula_sum 'Sc2 Zn4 Cr2'
_space_group_name_H-M_alt 'A m m 2'
_space_group_IT_number 38
_space_group_name_Hall 'A 2 -2'
_cell_length_a 4.1885
_cell_length_b 3.0729
_cell_length_c 10.5031
_cell_angle_alpha 90.00
_cell_angle_beta 90.00
_cell_angle_gamma 90.00
loop_
_atom_site_label
_atom_site_fract_x
_atom_site_fract_y
_atom_site_fract_z
Sc1 0.0000 0.0000 0.0000
Zn1 0.0000 0.0000 0.7420
Zn2 0.5000 0.0000 0.6098
Cr1 0.5000 0.0000 0.3399



Record 7
# ScZnCr | the Alexandria database | GGA-PBE | relaxed
# DOS(E_F) ... 6.28 states/eV/cell
# VASP energy ... -16.97 eV per formula unit
# Distance to the lowest polymorph of the same formula ... 0 kJ/mol of formula units
data_ScZnCr
_chemical_formula_sum 'Sc2 Zn2 Cr2'
_space_group_name_H-M_alt 'I 4 m m'
_space_group_IT_number 107
_space_group_name_Hall 'I 4 -2'
_cell_length_a 3.2481
_cell_length_b 3.2481
_cell_length_c 9.7020
_cell_angle_alpha 90.00
_cell_angle_beta 90.00
_cell_angle_gamma 90.00
loop_
_atom_site_label
_atom_site_fract_x
_atom_site_fract_y
_atom_site_fract_z
Sc1 0.0000 0.0000 0.0000
Zn1 0.0000 0.0000 0.3127
Cr1 0.0000 0.0000 0.6752



Record 8
# ScZn3Cr | the Alexandria database | GGA-PBE | relaxed
# DOS(E_F) ... 3.14 states/eV/cell
# VASP energy ... -17.32 eV per formula unit
# Distance to the lowest polymorph of the same formula ... 0 kJ/mol of formula units
data_ScZn3Cr
_chemical_formula_sum 'Sc1 Zn3 Cr1'
_space_group_name_H-M_alt 'P m -3 m'
_space_group_IT_number 221
_space_group_name_Hall '-P 4 2 3'
_cell_length_a 4.6695
_cell_length_b 4.6695
_cell_length_c 4.6695
_cell_angle_alpha 90.00
_cell_angle_beta 90.00
_cell_angle_gamma 90.00
loop_
_atom_site_label
_atom_site_fract_x
_atom_site_fract_y
_atom_site_fract_z
Sc1 0.0000 0.0000 0.0000
Zn1 0.0000 0.5000 0.5000
Cr1 0.5000 0.5000 0.5000



Record 9
# ScZnCr | the Alexandria database | GGA-PBE | relaxed
# DOS(E_F) ... 8.83 states/eV/cell
# VASP energy ... -16.05 eV per formula unit
# Distance to the lowest polymorph of the same formula ... 89 kJ/mol of formula units
data_ScZnCr
_chemical_formula_sum 'Sc4 Zn4 Cr4'
_space_group_name_H-M_alt 'F -4 3 m'
_space_group_IT_number 216
_space_group_name_Hall 'F -4 2 3'
_cell_length_a 6.2375
_cell_length_b 6.2375
_cell_length_c 6.2375
_cell_angle_alpha 90.00
_cell_angle_beta 90.00
_cell_angle_gamma 90.00
loop_
_atom_site_label
_atom_site_fract_x
_atom_site_fract_y
_atom_site_fract_z
Sc1 0.0000 0.0000 0.0000
Zn1 0.2500 0.2500 0.7500
Cr1 0.0000 0.0000 0.5000



Record 10
# ScZnCr | the Alexandria database | GGA-PBE | relaxed
# DOS(E_F) ... 2.27 states/eV/cell
# VASP energy ... -16.31 eV per formula unit
# Distance to the lowest polymorph of the same formula ... 64 kJ/mol of formula units
data_ScZnCr
_chemical_formula_sum 'Sc1 Zn1 Cr1'
_space_group_name_H-M_alt 'P 3 m 1'
_space_group_IT_number 156
_space_group_name_Hall 'P 3 -2"'
_cell_length_a 3.0294
_cell_length_b 3.0294
_cell_length_c 6.5227
_cell_angle_alpha 90.00
_cell_angle_beta 90.00
_cell_angle_gamma 120.00
loop_
_atom_site_label
_atom_site_fract_x
_atom_site_fract_y
_atom_site_fract_z
Sc1 0.0000 0.0000 0.0000
Zn1 0.6667 0.3333 0.3679
Cr1 0.3333 0.6667 0.6757



Record 11
# ScZn2Cr | the Alexandria database | GGA-PBE | relaxed
# DOS(E_F) ... 9.40 states/eV/cell
# VASP energy ... -17.49 eV per formula unit
# Distance to the lowest polymorph of the same formula ... 130 kJ/mol of formula units
data_ScZn2Cr
_chemical_formula_sum 'Sc3 Zn6 Cr3'
_space_group_name_H-M_alt 'R 3 m'
_space_group_IT_number 160
_space_group_name_Hall 'R 3 -2"'
_cell_length_a 2.9665
_cell_length_b 2.9665
_cell_length_c 26.3390
_cell_angle_alpha 90.00
_cell_angle_beta 90.00
_cell_angle_gamma 120.00
loop_
_atom_site_label
_atom_site_fract_x
_atom_site_fract_y
_atom_site_fract_z
Sc1 0.0000 0.0000 0.0000
Zn1 0.0000 0.0000 0.2414
Zn2 0.0000 0.0000 0.4923
Cr1 0.0000 0.0000 0.7477



Record 12
# ScZn2Cr | the Alexandria database | GGA-PBE | relaxed
# DOS(E_F) ... 5.01 states/eV/cell
# VASP energy ... -18.35 eV per formula unit
# Distance to the lowest polymorph of the same formula ... 48 kJ/mol of formula units
data_ScZn2Cr
_chemical_formula_sum 'Sc4 Zn8 Cr4'
_space_group_name_H-M_alt 'F -4 3 m'
_space_group_IT_number 216
_space_group_name_Hall 'F -4 2 3'
_cell_length_a 6.4369
_cell_length_b 6.4369
_cell_length_c 6.4369
_cell_angle_alpha 90.00
_cell_angle_beta 90.00
_cell_angle_gamma 90.00
loop_
_atom_site_label
_atom_site_fract_x
_atom_site_fract_y
_atom_site_fract_z
Sc1 0.0000 0.0000 0.0000
Zn1 0.0000 0.0000 0.5000
Zn2 0.2500 0.2500 0.2500
Cr1 0.2500 0.2500 0.7500



Record 13
# Sc2Zn2Cr | the Alexandria database | GGA-PBE | relaxed
# DOS(E_F) ... 23.13 states/eV/cell
# VASP energy ... -21.60 eV per formula unit
# Distance to the lowest polymorph of the same formula ... 331 kJ/mol of formula units
data_Sc2Zn2Cr
_chemical_formula_sum 'Sc4 Zn4 Cr2'
_space_group_name_H-M_alt 'I 4/m m m'
_space_group_IT_number 139
_space_group_name_Hall '-I 4 2'
_cell_length_a 3.9166
_cell_length_b 3.9166
_cell_length_c 12.0956
_cell_angle_alpha 90.00
_cell_angle_beta 90.00
_cell_angle_gamma 90.00
loop_
_atom_site_label
_atom_site_fract_x
_atom_site_fract_y
_atom_site_fract_z
Sc1 0.0000 0.5000 0.2500
Zn1 0.0000 0.0000 0.0929
Cr1 0.0000 0.0000 0.5000



Record 14
# ScZnCr | the Alexandria database | GGA-PBE | relaxed
# DOS(E_F) ... 7.09 states/eV/cell
# VASP energy ... -15.02 eV per formula unit
# Distance to the lowest polymorph of the same formula ... 188 kJ/mol of formula units
data_ScZnCr
_chemical_formula_sum 'Sc4 Zn4 Cr4'
_space_group_name_H-M_alt 'F -4 3 m'
_space_group_IT_number 216
_space_group_name_Hall 'F -4 2 3'
_cell_length_a 6.3312
_cell_length_b 6.3312
_cell_length_c 6.3312
_cell_angle_alpha 90.00
_cell_angle_beta 90.00
_cell_angle_gamma 90.00
loop_
_atom_site_label
_atom_site_fract_x
_atom_site_fract_y
_atom_site_fract_z
Sc1 0.0000 0.0000 0.0000
Zn1 0.2500 0.2500 0.2500
Cr1 0.2500 0.2500 0.7500